Record 1
This record from Alexandria describes crystalline K2LiTeS4 at its relaxed geometry. The functional is PBE-GGA.

Cell: 7.6507 8.7758 12.0572 Å, 90.00 90.00 90.00°
Space group Imma (No. 74)
Asymmetric unit:
K1 0.0000 0.0000 0.0000 [4 per cell]
K2 0.2500 0.2500 0.2500 [4 per cell]
Li1 0.0000 0.0000 0.5000 [4 per cell]
Te1 0.2500 0.2500 0.7500 [4 per cell]
S1 0.0000 0.0360 0.7491 [8 per cell]
S2 0.1867 0.2500 0.5239 [8 per cell]

Summary:
Formation energy from raw total energies (meV/atom): -606
Total moment (μB per formula unit): 1.00
DOS at the Fermi energy (states/eV per cell): 1.39
ρ (g cm⁻³): 2.80



Record 2
This record from Alexandria describes crystalline KLi2TeS at its relaxed geometry. The functional is PBE-GGA.

Cell: 5.6178 5.6178 5.2146 Å, 90.00 90.00 90.00°
Space group P4/mmm (No. 123)
Asymmetric unit:
K1 0.0000 0.0000 0.0000 [1 per cell]
Li1 0.0000 0.5000 0.0000 [2 per cell]
Te1 0.5000 0.5000 0.5000 [1 per cell]
S1 0.0000 0.0000 0.5000 [1 per cell]

Summary:
Formation energy from raw total energies (meV/atom): 285
Total moment (μB per formula unit): 0.00
DOS at the Fermi energy (states/eV per cell): 4.50
ρ (g cm⁻³): 2.15



Record 3
This record from Alexandria describes crystalline K2LiTeS at its relaxed geometry. The functional is PBE-GGA.

Cell: 6.2469 6.2469 4.4166 Å, 90.00 90.00 90.00°
Space group P4/mmm (No. 123)
Asymmetric unit:
K1 0.0000 0.5000 0.0000 [2 per cell]
Li1 0.0000 0.0000 0.5000 [1 per cell]
Te1 0.5000 0.5000 0.5000 [1 per cell]
S1 0.0000 0.0000 0.0000 [1 per cell]

Summary:
Formation energy from raw total energies (meV/atom): -842
Total moment (μB per formula unit): 0.69
DOS at the Fermi energy (states/eV per cell): 7.11
ρ (g cm⁻³): 2.36



Record 4
This record from Alexandria describes crystalline K3LiTh2S6 at its relaxed geometry. The functional is PBE-GGA.

Cell: 7.2251 12.5181 7.7296 Å, 90.00 108.03 90.00°
Space group C2/m (No. 12)
Asymmetric unit:
K1 0.0000 0.0000 0.0000 [2 per cell]
K2 0.0000 0.3399 0.0000 [4 per cell]
Li1 0.0000 0.5000 0.5000 [2 per cell]
Th1 0.0000 0.1671 0.5000 [4 per cell]
S1 0.2219 0.0000 0.7029 [4 per cell]
S2 0.2422 0.3261 0.7057 [8 per cell]

Summary:
Formation energy from raw total energies (meV/atom): -1696
Total moment (μB per formula unit): 0.00
DOS at the Fermi energy (states/eV per cell): 0.00
ρ (g cm⁻³): 3.90



Record 5
This record from Alexandria describes crystalline KLi3Th2S6 at its relaxed geometry. The functional is PBE-GGA.

Cell: 16.2010 4.1673 9.2496 Å, 90.00 99.03 90.00°
Space group C2/m (No. 12)
Asymmetric unit:
K1 0.0000 0.0000 0.0000 [2 per cell]
Li1 0.0000 0.0000 0.5000 [2 per cell]
Li2 0.1511 0.5000 0.7258 [4 per cell]
Th1 0.1625 0.5000 0.3305 [4 per cell]
S1 0.0019 0.5000 0.7239 [4 per cell]
S2 0.1617 0.0000 0.5493 [4 per cell]
S3 0.1978 0.0000 0.1588 [4 per cell]

Summary:
Formation energy from raw total energies (meV/atom): -1610
Total moment (μB per formula unit): 0.00
DOS at the Fermi energy (states/eV per cell): 0.00
ρ (g cm⁻³): 3.86



Record 6
This record from Alexandria describes crystalline K2LiThS4 at its relaxed geometry. The functional is PBE-GGA.

Cell: 8.1061 8.6791 12.5556 Å, 90.00 90.00 90.00°
Space group Imma (No. 74)
Asymmetric unit:
K1 0.0000 0.0000 0.0000 [4 per cell]
K2 0.2500 0.2500 0.2500 [4 per cell]
Li1 0.0000 0.0000 0.5000 [4 per cell]
Th1 0.2500 0.2500 0.7500 [4 per cell]
S1 0.0000 0.0325 0.7609 [8 per cell]
S2 0.1816 0.2500 0.5256 [8 per cell]

Summary:
Formation energy from raw total energies (meV/atom): -1365
Total moment (μB per formula unit): 1.00
DOS at the Fermi energy (states/eV per cell): 0.12
ρ (g cm⁻³): 3.35



Record 7
This record from Alexandria describes crystalline K4LiTh3S8 at its relaxed geometry. The functional is PBE-GGA.

Cell: 8.3198 8.3198 22.0541 Å, 90.00 90.00 120.00°
Space group R-3m (No. 166, hexagonal axes)
Asymmetric unit:
K1 0.0000 0.0000 0.0000 [3 per cell]
K2 0.0000 0.5000 0.0000 [9 per cell]
Li1 0.0000 0.0000 0.5000 [3 per cell]
Th1 0.0000 0.5000 0.5000 [9 per cell]
S1 0.0000 0.0000 0.2366 [6 per cell]
S2 0.0091 0.5045 0.7653 [18 per cell]

Summary:
Formation energy from raw total energies (meV/atom): -1669
Total moment (μB per formula unit): 0.00
DOS at the Fermi energy (states/eV per cell): 19.38
ρ (g cm⁻³): 4.20



Record 8
This record from Alexandria describes crystalline KLi2Ti3S8 at its relaxed geometry. The functional is PBE-GGA.

Cell: 6.9806 6.9806 24.3498 Å, 90.00 90.00 120.00°
Space group R3m (No. 160, hexagonal axes)
Asymmetric unit:
K1 0.0000 0.0000 0.0000 [3 per cell]
Li1 0.0000 0.0000 0.1516 [3 per cell]
Li2 0.0000 0.0000 0.5933 [3 per cell]
Ti1 0.0025 0.5012 0.1508 [9 per cell]
S1 0.0000 0.0000 0.4261 [3 per cell]
S2 0.0000 0.0000 0.8750 [3 per cell]
S3 0.0204 0.5102 0.4268 [9 per cell]
S4 0.1698 0.3397 0.2090 [9 per cell]

Summary:
Formation energy from raw total energies (meV/atom): -1183
Total moment (μB per formula unit): 0.00
DOS at the Fermi energy (states/eV per cell): 12.50
ρ (g cm⁻³): 2.20